! GGA-PBE AcH2Pt4, optimized geometry; values from VASP
&SYSTEM
  ibrav = 0, nat = 14, ntyp = 3
/
ATOMIC_SPECIES
Ac 227.00 Ac.upf
H 1.01 H.upf
Pt 195.08 Pt.upf
CELL_PARAMETERS angstrom
7.5892 0.0000 0.0000
0.0000 7.5892 0.0000
0.0000 0.0000 4.0794
ATOMIC_POSITIONS angstrom
Ac 0.0000 0.0000 0.0000
Ac 3.7946 3.7946 2.0397
H 1.7857 1.7857 0.0000
H 2.0089 5.5803 2.0397
H 5.5803 2.0089 2.0397
H 5.8035 5.8035 0.0000
Pt 0.4180 5.0813 2.0397
Pt 1.2867 3.3766 0.0000
Pt 2.5079 7.1712 2.0397
Pt 3.3766 1.2867 0.0000
Pt 4.2126 6.3025 0.0000
Pt 5.0813 0.4180 2.0397
Pt 6.3025 4.2126 0.0000
Pt 7.1712 2.5079 2.0397
! **E**: -5.348 eV per atom